No. 1
# RhSeF3, relaxed, DFT PBE-GGA
# total magnetization	0.36	μB/atom
# total energy	-3.416	eV per atom
# D(E_F)	2.422	states/eV/atom
# crystal system	cubic
# ΔE_f (raw)	-127	meV per atom
# symmetry	No. 221
data_RhSeF3
_space_group_name_H-M_alt 'P 1'
_space_group_IT_number 1
_cell_length_a 4.3827
_cell_length_b 4.3827
_cell_length_c 4.3827
_cell_angle_alpha 90.00
_cell_angle_beta 90.00
_cell_angle_gamma 90.00
loop_
_space_group_symop_operation_xyz
'x,y,z'
loop_
_atom_site_label
_atom_site_type_symbol
_atom_site_fract_x
_atom_site_fract_y
_atom_site_fract_z
Rh1 Rh 0.0000 0.0000 0.0000
Se1 Se 0.5000 0.5000 0.5000
F1 F 0.0000 0.5000 0.5000
F2 F 0.5000 0.0000 0.5000
F3 F 0.5000 0.5000 0.0000

***

No. 2
# RhSe2F, relaxed, DFT PBE-GGA
# total magnetization	0.00	μB/atom
# total energy	-4.515	eV per atom
# D(E_F)	0.243	states/eV/atom
# crystal system	cubic
# ΔE_f (raw)	-467	meV per atom
# symmetry	No. 225
# ΔE to the lowest computed polymorph	152	meV/atom
data_RhSe2F
_space_group_name_H-M_alt 'P 1'
_space_group_IT_number 1
_cell_length_a 4.3466
_cell_length_b 4.3466
_cell_length_c 4.3466
_cell_angle_alpha 60.00
_cell_angle_beta 60.00
_cell_angle_gamma 60.00
loop_
_space_group_symop_operation_xyz
'x,y,z'
loop_
_atom_site_label
_atom_site_type_symbol
_atom_site_fract_x
_atom_site_fract_y
_atom_site_fract_z
Rh1 Rh 0.0000 0.0000 0.0000
Se1 Se 0.2500 0.2500 0.2500
Se2 Se 0.7500 0.7500 0.7500
F1 F 0.5000 0.5000 0.5000

***

No. 3
# RhSe2F, relaxed, DFT PBE-GGA
# total magnetization	0.00	μB/atom
# total energy	-4.667	eV per atom
# D(E_F)	0.578	states/eV/atom
# crystal system	trigonal
# ΔE_f (raw)	-619	meV per atom
# symmetry	No. 166
# ΔE to the lowest computed polymorph	0	meV/atom
data_RhSe2F
_space_group_name_H-M_alt 'P 1'
_space_group_IT_number 1
_cell_length_a 6.9875
_cell_length_b 6.9875
_cell_length_c 6.9875
_cell_angle_alpha 32.10
_cell_angle_beta 32.10
_cell_angle_gamma 32.10
loop_
_space_group_symop_operation_xyz
'x,y,z'
loop_
_atom_site_label
_atom_site_type_symbol
_atom_site_fract_x
_atom_site_fract_y
_atom_site_fract_z
Rh1 Rh 0.0000 0.0000 0.0000
Se1 Se 0.3909 0.3909 0.3909
Se2 Se 0.6091 0.6091 0.6091
F1 F 0.5000 0.5000 0.5000

***

No. 4
# RhSeF, relaxed, DFT PBE-GGA
# total magnetization	0.00	μB/atom
# total energy	-5.212	eV per atom
# crystal system	trigonal
# ΔE_f (raw)	-976	meV per atom
# symmetry	No. 156
# ΔE to the lowest computed polymorph	0	meV/atom
data_RhSeF
_space_group_name_H-M_alt 'P 1'
_space_group_IT_number 1
_cell_length_a 3.4365
_cell_length_b 3.4365
_cell_length_c 5.1956
_cell_angle_alpha 90.00
_cell_angle_beta 90.00
_cell_angle_gamma 120.00
loop_
_space_group_symop_operation_xyz
'x,y,z'
loop_
_atom_site_label
_atom_site_type_symbol
_atom_site_fract_x
_atom_site_fract_y
_atom_site_fract_z
Rh1 Rh 0.0000 0.0000 0.0000
Se1 Se 0.3333 0.6667 0.2500
F1 F 0.6667 0.3333 0.7663

***

No. 5
# RhSe2F, relaxed, DFT PBE-GGA
# total magnetization	0.00	μB/atom
# total energy	-4.389	eV per atom
# D(E_F)	0.541	states/eV/atom
# crystal system	tetragonal
# ΔE_f (raw)	-341	meV per atom
# symmetry	No. 122
# ΔE to the lowest computed polymorph	278	meV/atom
data_RhSe2F
_space_group_name_H-M_alt 'P 1'
_space_group_IT_number 1
_cell_length_a 6.4421
_cell_length_b 6.4421
_cell_length_c 6.4421
_cell_angle_alpha 123.99
_cell_angle_beta 123.99
_cell_angle_gamma 83.22
loop_
_space_group_symop_operation_xyz
'x,y,z'
loop_
_atom_site_label
_atom_site_type_symbol
_atom_site_fract_x
_atom_site_fract_y
_atom_site_fract_z
Rh1 Rh 0.0000 0.0000 0.0000
Rh2 Rh 0.7500 0.2500 0.5000
Se1 Se 0.0928 0.6250 0.9678
Se2 Se 0.3750 0.3428 0.4678
Se3 Se 0.6572 0.1250 0.0322
Se4 Se 0.8750 0.9072 0.5322
F1 F 0.2500 0.7500 0.5000
F2 F 0.5000 0.5000 0.0000

***

No. 6
# RhSeF, relaxed, DFT PBE-GGA
# total magnetization	0.00	μB/atom
# total energy	-5.193	eV per atom
# crystal system	monoclinic
# ΔE_f (raw)	-957	meV per atom
# symmetry	No. 12
# ΔE to the lowest computed polymorph	19	meV/atom
data_RhSeF
_space_group_name_H-M_alt 'P 1'
_space_group_IT_number 1
_cell_length_a 6.2655
_cell_length_b 6.2655
_cell_length_c 6.2101
_cell_angle_alpha 117.22
_cell_angle_beta 117.22
_cell_angle_gamma 31.87
loop_
_space_group_symop_operation_xyz
'x,y,z'
loop_
_atom_site_label
_atom_site_type_symbol
_atom_site_fract_x
_atom_site_fract_y
_atom_site_fract_z
Rh1 Rh 0.2486 0.2486 0.2428
Rh2 Rh 0.7514 0.7514 0.7572
Se1 Se 0.3659 0.3659 0.6833
Se2 Se 0.6341 0.6341 0.3167
F1 F 0.1502 0.1502 0.8386
F2 F 0.8498 0.8498 0.1614

***

No. 7
# SrRhSeF2, relaxed, DFT PBE-GGA
# total magnetization	0.00	μB/atom
# total energy	-4.504	eV per atom
# D(E_F)	0.225	states/eV/atom
# crystal system	tetragonal
# ΔE_f (raw)	-1252	meV per atom
# symmetry	No. 123
data_SrRhSeF2
_space_group_name_H-M_alt 'P 1'
_space_group_IT_number 1
_cell_length_a 4.6800
_cell_length_b 4.6800
_cell_length_c 4.5441
_cell_angle_alpha 90.00
_cell_angle_beta 90.00
_cell_angle_gamma 90.00
loop_
_space_group_symop_operation_xyz
'x,y,z'
loop_
_atom_site_label
_atom_site_type_symbol
_atom_site_fract_x
_atom_site_fract_y
_atom_site_fract_z
Sr1 Sr 0.0000 0.0000 0.0000
Rh1 Rh 0.5000 0.5000 0.0000
Se1 Se 0.5000 0.5000 0.5000
F1 F 0.0000 0.5000 0.5000
F2 F 0.5000 0.0000 0.5000